[1]
# GdCdAu2 GGA-PBE relaxed
data_GdCdAu2
_chemical_formula_sum 'Gd1 Cd1 Au2'
_space_group_name_H-M_alt 'P 1'
_space_group_IT_number 1
_cell_length_a 3.907
_cell_length_b 4.769
_cell_length_c 4.769
_cell_angle_alpha 90.00
_cell_angle_beta 90.00
_cell_angle_gamma 90.00
loop_
_space_group_symop_operation_xyz
'x,y,z'
loop_
_atom_site_label
_atom_site_type_symbol
_atom_site_fract_x
_atom_site_fract_y
_atom_site_fract_z
Au1 Au 0.000 0.000 0.500
Au2 Au 0.000 0.500 0.000
Gd1 Gd 0.500 0.500 0.500
Cd1 Cd 0.500 0.000 0.000
# symmetry: P4/mmm, No. 123
# crystal system: tetragonal
# ΔE_f: -0.52 eV per atom
# E_tot: -23.645 eV/cell
# total moment: 7.18 Bohr magnetons per cell

[2]
# Gd2CdAu GGA-PBE relaxed
data_Gd2CdAu
_chemical_formula_sum 'Gd2 Cd1 Au1'
_space_group_name_H-M_alt 'P 1'
_space_group_IT_number 1
_cell_length_a 3.678
_cell_length_b 3.678
_cell_length_c 7.509
_cell_angle_alpha 90.00
_cell_angle_beta 90.00
_cell_angle_gamma 90.00
loop_
_space_group_symop_operation_xyz
'x,y,z'
loop_
_atom_site_label
_atom_site_type_symbol
_atom_site_fract_x
_atom_site_fract_y
_atom_site_fract_z
Gd1 Gd 0.000 0.000 0.765
Gd2 Gd 0.000 0.000 0.235
Cd1 Cd 0.500 0.500 0.500
Au1 Au 0.500 0.500 0.000
# symmetry: P4/mmm, No. 123
# crystal system: tetragonal
# ΔE_f: -0.59 eV per atom
# E_tot: -34.696 eV/cell
# total moment: 14.54 Bohr magnetons per cell

[3]
# GdCdAu GGA-PBE relaxed
data_GdCdAu
_chemical_formula_sum 'Gd1 Cd1 Au1'
_space_group_name_H-M_alt 'P 1'
_space_group_IT_number 1
_cell_length_a 4.837
_cell_length_b 4.837
_cell_length_c 4.837
_cell_angle_alpha 60.00
_cell_angle_beta 60.00
_cell_angle_gamma 60.00
loop_
_space_group_symop_operation_xyz
'x,y,z'
loop_
_atom_site_label
_atom_site_type_symbol
_atom_site_fract_x
_atom_site_fract_y
_atom_site_fract_z
Au1 Au 0.250 0.250 0.250
Cd1 Cd 0.500 0.500 0.500
Gd1 Gd 0.000 0.000 0.000
# symmetry: F-43m, No. 216
# crystal system: cubic
# ΔE_f: -0.52 eV per atom
# E_tot: -19.846 eV/cell
# total moment: 7.45 Bohr magnetons per cell

Which value of ΔE_f does entry 2 give? -0.59 eV per atom

Which formula does entry 3 have? GdCdAu

Which formula does entry 3 have? GdCdAu

Which value of E_tot does entry 2 give? -34.696 eV/cell